Entry A
A plane-wave DFT calculation with PBE was carried out for an optimized crystal structure of CaAs2PbSe.

Unit cell a=5.491 b=5.491 c=5.535 alpha=90.00 beta=90.00 gamma=90.00
Atoms (fractional coordinates):
Ca1 0.000 0.000 0.000
As1 0.000 0.500 0.000
As2 0.500 0.000 0.000
Pb1 0.500 0.500 0.500
Se1 0.000 0.000 0.500

Summary:
Space group = P4/mmm
Theoretical density = 4.74 g cm⁻³
DOS(E_F) = 1.095 states/eV/atom

---

Entry B
A plane-wave DFT calculation with PBE was carried out for an optimized crystal structure of CaAs2PbSe.

Unit cell a=5.697 b=5.697 c=5.889 alpha=90.00 beta=90.00 gamma=90.00
Atoms (fractional coordinates):
Ca1 0.000 0.000 0.000
As1 0.000 0.500 0.500
As2 0.500 0.000 0.500
Pb1 0.500 0.500 0.500
Se1 0.500 0.500 0.000

Summary:
Space group = P4/mmm
Theoretical density = 4.14 g cm⁻³
DOS(E_F) = 1.394 states/eV/atom

---

Most favorable structure: entry A. The second most favorable one is 33 meV per atom above it.